Below is crystalline FeIN2O at its relaxed geometry, with properties calculated at the PBE+U level.

a = 4.075 Å, b = 4.075 Å, c = 3.975 Å
α = 90.00°, β = 90.00°, γ = 90.00°
Last column: magnetic moment on the atom in μB.
Fractional coordinates of all 5 atoms:
I  0.000  0.000  0.000  0.00
Fe  0.500  0.500  0.500  3.79
O  0.000  0.000  0.500  0.01
N  0.000  0.500  0.000  -0.04
N  0.500  0.000  0.000  -0.04

Results
Total energy ... -21.80 eV per cell